1.
Here is a PBEsol-optimized structure of NaAlGe from the Alexandria database. Energies are from SCAN.

Summary:
uncorrected energy: -63.5 eV/cell
energy of formation: -0.2325 eV/atom

a = 4.140 Å, b = 4.140 Å, c = 7.331 Å
α = 90.00°, β = 90.00°, γ = 90.00°
Space group P4/nmm (No. 129, origin choice 2)
Unique sites:
Na 0.250 0.250 0.139 [2 per cell]
Al 0.250 0.750 0.500 [2 per cell]
Ge 0.250 0.250 0.716 [2 per cell]



2.
Here is a PBEsol-optimized structure of Nb12Al3Ge from the Alexandria database. Energies are from SCAN.

Summary:
uncorrected energy: -444.0 eV/cell
energy of formation: -0.2575 eV/atom

a = 5.150 Å, b = 5.151 Å, c = 10.310 Å
α = 90.00°, β = 90.00°, γ = 90.00°
Space group Pmmm (No. 47)
Unique sites:
Nb 0.000 0.000 0.125 [2 per cell]
Nb 0.000 0.000 0.375 [2 per cell]
Nb 0.249 0.500 0.248 [4 per cell]
Nb 0.500 0.249 0.000 [2 per cell]
Nb 0.500 0.251 0.500 [2 per cell]
Al 0.000 0.500 0.500 [1 per cell]
Al 0.500 0.000 0.250 [2 per cell]
Ge 0.000 0.500 0.000 [1 per cell]



3.
Here is a PBEsol-optimized structure of NbAlGeTe2 from the Alexandria database. Energies are from SCAN.

Summary:
uncorrected energy: -129.5 eV/cell
formation energy (no corrections): 5.0 eV/f.u.

a = 5.205 Å, b = 5.205 Å, c = 4.910 Å
α = 90.00°, β = 90.00°, γ = 90.00°
Space group P4/mmm (No. 123)
Unique sites:
Nb 0.000 0.000 0.000 [1 per cell]
Al 0.000 0.000 0.500 [1 per cell]
Ge 0.500 0.500 0.000 [1 per cell]
Te 0.000 0.500 0.500 [2 per cell]



4.
Here is a PBEsol-optimized structure of Nd2Al3Ge from the Alexandria database. Energies are from SCAN.

Summary:
uncorrected energy: -133.4 eV/cell
energy of formation: -0.6467 eV/atom

a = 4.100 Å, b = 4.339 Å, c = 7.509 Å
α = 90.00°, β = 90.00°, γ = 90.00°
Space group Pmm2 (No. 25)
Unique sites:
Nd 0.000 0.000 0.000 [1 per cell]
Nd 0.000 0.500 0.486 [1 per cell]
Al 0.500 0.000 0.658 [1 per cell]
Al 0.500 0.500 0.160 [1 per cell]
Al 0.500 0.500 0.824 [1 per cell]
Ge 0.500 0.000 0.327 [1 per cell]



5.
Here is a PBEsol-optimized structure of Nd2AlGe6 from the Alexandria database. Energies are from SCAN.

Summary:
uncorrected energy: -855.8 eV/cell
energy of formation: -0.5009 eV/atom

a = 8.323 Å, b = 8.616 Å, c = 10.567 Å
α = 90.00°, β = 101.84°, γ = 90.00°
Space group C2/m (No. 12)
Unique sites:
Nd 0.088 0.247 0.337 [8 per cell]
Al 0.198 0.000 0.803 [4 per cell]
Ge 0.009 0.500 0.884 [4 per cell]
Ge 0.071 0.000 0.116 [4 per cell]
Ge 0.136 0.500 0.586 [4 per cell]
Ge 0.147 0.000 0.560 [4 per cell]
Ge 0.218 0.287 0.884 [8 per cell]



6.
Here is a PBEsol-optimized structure of NdAlGe2O7 from the Alexandria database. Energies are from SCAN.

Summary:
uncorrected energy: -649.8 eV/cell
formation energy (no corrections): -29.3 eV/f.u.

a = 7.208 Å, b = 6.537 Å, c = 12.726 Å
α = 90.00°, β = 117.52°, γ = 90.00°
Space group P2_1/c (No. 14)
Unique sites:
Nd 0.236 0.148 0.474 [4 per cell]
Al 0.212 0.101 0.730 [4 per cell]
Ge 0.210 0.658 0.452 [4 per cell]
Ge 0.301 0.589 0.721 [4 per cell]
O 0.004 0.660 0.917 [4 per cell]
O 0.158 0.682 0.187 [4 per cell]
O 0.203 0.052 0.866 [4 per cell]
O 0.221 0.118 0.278 [4 per cell]
O 0.248 0.000 0.074 [4 per cell]
O 0.407 0.673 0.975 [4 per cell]
O 0.427 0.121 0.696 [4 per cell]



7.
Here is a PBEsol-optimized structure of AlNiGe from the Alexandria database. Energies are from SCAN.

Summary:
uncorrected energy: -178.1 eV/cell
energy of formation: -0.5005 eV/atom

a = 5.582 Å, b = 5.582 Å, c = 5.582 Å
α = 90.00°, β = 90.00°, γ = 90.00°
Space group F-43m (No. 216)
Unique sites:
Al 0.000 0.000 0.000 [4 per cell]
Ni 0.250 0.250 0.250 [4 per cell]
Ge 0.000 0.000 0.500 [4 per cell]



8.
Here is a PBEsol-optimized structure of Al10Ge2O19 from the Alexandria database. Energies are from SCAN.

Summary:
uncorrected energy: -1308.5 eV/cell
formation energy (no corrections): -93.0 eV/f.u.

a = 5.911 Å, b = 30.434 Å, c = 7.740 Å
α = 90.00°, β = 90.00°, γ = 90.00°
Space group Cmc2_1 (No. 36)
Unique sites:
Al 0.000 0.024 0.000 [4 per cell]
Al 0.000 0.099 0.653 [4 per cell]
Al 0.000 0.279 0.977 [4 per cell]
Al 0.000 0.357 0.632 [4 per cell]
Al 0.000 0.400 0.155 [4 per cell]
Al 0.000 0.470 0.484 [4 per cell]
Al 0.242 0.441 0.828 [8 per cell]
Al 0.248 0.314 0.302 [8 per cell]
Ge 0.000 0.118 0.032 [4 per cell]
Ge 0.000 0.256 0.619 [4 per cell]
O 0.000 0.026 0.394 [4 per cell]
O 0.000 0.075 0.871 [4 per cell]
O 0.000 0.098 0.241 [4 per cell]
O 0.000 0.154 0.729 [4 per cell]
O 0.000 0.227 0.863 [4 per cell]
O 0.000 0.283 0.413 [4 per cell]
O 0.000 0.305 0.763 [4 per cell]
O 0.000 0.340 0.188 [4 per cell]
O 0.000 0.403 0.755 [4 per cell]
O 0.000 0.424 0.354 [4 per cell]
O 0.000 0.476 0.899 [4 per cell]
O 0.244 0.153 0.010 [8 per cell]
O 0.248 0.090 0.540 [8 per cell]
O 0.248 0.276 0.104 [8 per cell]
O 0.249 0.468 0.611 [8 per cell]



9.
Here is a PBEsol-optimized structure of AlGePO2 from the Alexandria database. Energies are from SCAN.

Summary:
uncorrected energy: -54.6 eV/cell
formation energy (no corrections): -4.9 eV/f.u.

a = 3.558 Å, b = 3.558 Å, c = 5.241 Å
α = 90.00°, β = 90.00°, γ = 90.00°
Space group P4/mmm (No. 123)
Unique sites:
Al 0.000 0.000 0.000 [1 per cell]
Ge 0.500 0.500 0.500 [1 per cell]
P 0.000 0.000 0.500 [1 per cell]
O 0.000 0.500 0.000 [2 per cell]



10.
Here is a PBEsol-optimized structure of SmAlGe2O7 from the Alexandria database. Energies are from SCAN.

Summary:
uncorrected energy: -653.5 eV/cell
formation energy (no corrections): -29.4 eV/f.u.

a = 7.159 Å, b = 6.515 Å, c = 12.652 Å
α = 90.00°, β = 117.56°, γ = 90.00°
Space group P2_1/c (No. 14)
Unique sites:
Sm 0.237 0.148 0.474 [4 per cell]
Al 0.211 0.101 0.729 [4 per cell]
Ge 0.212 0.658 0.453 [4 per cell]
Ge 0.301 0.589 0.722 [4 per cell]
O 0.006 0.658 0.919 [4 per cell]
O 0.156 0.683 0.188 [4 per cell]
O 0.206 0.053 0.867 [4 per cell]
O 0.219 0.119 0.278 [4 per cell]
O 0.250 0.002 0.076 [4 per cell]
O 0.408 0.671 0.975 [4 per cell]
O 0.425 0.121 0.694 [4 per cell]



11.
Here is a PBEsol-optimized structure of YAlGeO5 from the Alexandria database. Energies are from SCAN.

Summary:
uncorrected energy: -441.0 eV/cell
formation energy (no corrections): -24.4 eV/f.u.

a = 7.226 Å, b = 8.323 Å, c = 5.616 Å
α = 90.00°, β = 90.00°, γ = 90.00°
Space group Pbam (No. 55)
Unique sites:
Y 0.142 0.174 0.000 [4 per cell]
Al 0.000 0.500 0.249 [4 per cell]
Ge 0.120 0.855 0.500 [4 per cell]
O 0.000 0.000 0.285 [4 per cell]
O 0.107 0.712 0.252 [8 per cell]
O 0.153 0.430 0.500 [4 per cell]
O 0.163 0.446 0.000 [4 per cell]



12.
Here is a PBEsol-optimized structure of AlGe2P from the Alexandria database. Energies are from SCAN.

Summary:
uncorrected energy: -225.7 eV/cell
energy of formation: -0.0240 eV/atom

a = 5.699 Å, b = 5.699 Å, c = 11.204 Å
α = 90.00°, β = 90.00°, γ = 90.00°
Space group I-42d (No. 122)
Unique sites:
Al 0.000 0.000 0.000 [4 per cell]
Ge 0.236 0.250 0.625 [8 per cell]
P 0.000 0.000 0.500 [4 per cell]



13.
Here is a PBEsol-optimized structure of AlGeP2 from the Alexandria database. Energies are from SCAN.

Summary:
uncorrected energy: -193.4 eV/cell
energy of formation: -0.1753 eV/atom

a = 5.500 Å, b = 5.500 Å, c = 11.037 Å
α = 90.00°, β = 90.00°, γ = 90.00°
Space group I-42d (No. 122)
Unique sites:
Al 0.000 0.000 0.000 [4 per cell]
Ge 0.000 0.000 0.500 [4 per cell]
P 0.241 0.250 0.125 [8 per cell]



14.
Here is a PBEsol-optimized structure of AlGeP3 from the Alexandria database. Energies are from SCAN.

Summary:
uncorrected energy: -54.0 eV/cell
energy of formation: 0.8025 eV/atom

a = 4.594 Å, b = 4.594 Å, c = 4.594 Å
α = 90.00°, β = 90.00°, γ = 90.00°
Space group Pm-3m (No. 221)
Unique sites:
Al 0.000 0.000 0.000 [1 per cell]
Ge 0.500 0.500 0.500 [1 per cell]
P 0.000 0.000 0.500 [3 per cell]



15.
Here is a PBEsol-optimized structure of AlGeP2S from the Alexandria database. Energies are from SCAN.

Summary:
uncorrected energy: -54.5 eV/cell
formation energy (no corrections): 2.8 eV/f.u.

a = 4.610 Å, b = 4.610 Å, c = 4.543 Å
α = 90.00°, β = 90.00°, γ = 90.00°
Space group P4/mmm (No. 123)
Unique sites:
Al 0.000 0.000 0.000 [1 per cell]
Ge 0.500 0.500 0.500 [1 per cell]
P 0.000 0.500 0.000 [2 per cell]
S 0.000 0.000 0.500 [1 per cell]



16.
Here is a PBEsol-optimized structure of AlGeRu2Pb from the Alexandria database. Energies are from SCAN.

Summary:
uncorrected energy: -162.7 eV/cell
energy of formation: 1.9158 eV/atom

a = 4.933 Å, b = 4.933 Å, c = 4.993 Å
α = 90.00°, β = 90.00°, γ = 90.00°
Space group P4/mmm (No. 123)
Unique sites:
Al 0.000 0.000 0.000 [1 per cell]
Ge 0.500 0.500 0.000 [1 per cell]
Ru 0.000 0.500 0.500 [2 per cell]
Pb 0.500 0.500 0.500 [1 per cell]



17.
Here is a PBEsol-optimized structure of Al2ZnGePb from the Alexandria database. Energies are from SCAN.

Summary:
uncorrected energy: -118.4 eV/cell
energy of formation: 1.1000 eV/atom

a = 5.256 Å, b = 5.256 Å, c = 5.074 Å
α = 90.00°, β = 90.00°, γ = 90.00°
Space group P4/mmm (No. 123)
Unique sites:
Al 0.000 0.500 0.000 [2 per cell]
Zn 0.000 0.000 0.500 [1 per cell]
Ge 0.500 0.500 0.500 [1 per cell]
Pb 0.000 0.000 0.000 [1 per cell]



18.
Here is a PBEsol-optimized structure of Al3GePd from the Alexandria database. Energies are from SCAN.

Summary:
uncorrected energy: -74.8 eV/cell
energy of formation: 0.0594 eV/atom

a = 4.673 Å, b = 4.673 Å, c = 4.673 Å
α = 90.00°, β = 90.00°, γ = 90.00°
Space group Pm-3m (No. 221)
Unique sites:
Al 0.000 0.000 0.500 [3 per cell]
Ge 0.500 0.500 0.500 [1 per cell]
Pd 0.000 0.000 0.000 [1 per cell]